Record 1
Below is crystalline CsGaSe2 at its relaxed geometry, with properties calculated at the PBE-GGA level.

Geometry as POSCAR:
```
CsGaSe2
1.0
6.379 0.000 0.000
0.823 7.659 0.000
0.835 3.650 6.732
Cs Ga Se
2 2 4
Direct
0.000 0.000 0.000
0.435 0.346 0.347
0.217 0.785 0.561
0.717 0.787 0.559
0.439 0.737 0.821
0.492 0.862 0.289
0.942 0.057 0.485
0.994 0.526 0.608
```

formation energy (no corrections): -381 kJ/mol of formula units
energy: -3.699 eV per atom
spin magnetization: 0.000 μB/atom

Record 2
Below is crystalline ZrSb2Br at its relaxed geometry, with properties calculated at the PBE-GGA level.

Geometry as POSCAR:
```
ZrSb2Br
1.0
0.000 3.707 3.707
3.707 0.000 3.707
3.707 3.707 0.000
Zr Sb Br
1 2 1
Direct
0.000 0.000 0.000
0.250 0.250 0.250
0.750 0.750 0.750
0.500 0.500 0.500
```

formation energy (no corrections): 62 kJ/mol of formula units
energy: -4.455 eV per atom
spin magnetization: 0.000 μB/atom
distance to the lowest polymorph of the same formula: 676.9 meV/atom

Record 3
Below is crystalline FeAuSe2Cl at its relaxed geometry, with properties calculated at the PBE-GGA level.

Geometry as POSCAR:
```
FeAuSe2Cl
1.0
5.058 0.000 0.000
0.000 5.058 0.000
0.000 0.000 5.161
Fe Au Se Cl
1 1 2 1
Direct
0.000 0.000 0.000
0.000 0.000 0.500
0.000 0.500 0.500
0.500 0.000 0.500
0.500 0.500 0.000
```

formation energy (no corrections): 388 kJ/mol of formula units
energy: -3.307 eV per atom
spin magnetization: 1.077 μB/atom

Record 4
Below is crystalline Sr2Sb5Pd3 at its relaxed geometry, with properties calculated at the PBE-GGA level.

Geometry as POSCAR:
```
Sr2Sb5Pd3
1.0
-5.531 6.565 3.516
5.531 -6.565 3.516
5.531 6.565 -3.516
Sr Sb Pd
4 10 6
Direct
0.135 0.234 0.370
0.365 0.734 0.099
0.635 0.266 0.901
0.865 0.766 0.630
0.017 0.750 0.267
0.096 0.655 0.751
0.250 0.250 0.000
0.404 0.155 0.559
0.483 0.750 0.733
0.517 0.250 0.267
0.596 0.845 0.441
0.750 0.750 0.000
0.904 0.345 0.249
0.983 0.250 0.733
0.137 0.890 0.028
0.250 0.750 0.500
0.363 0.390 0.753
0.637 0.610 0.247
0.750 0.250 0.500
0.863 0.110 0.972
```

formation energy (no corrections): -613 kJ/mol of formula units
energy: -4.590 eV per atom
spin magnetization: 0.000 μB/atom
distance to the lowest polymorph of the same formula: 0.0 meV/atom